Compound: Zr2Ti2Zn
Source: the Alexandria database
Functional: PBE-GGA
Structure: relaxed

Properties
E_form (eV/atom): 0.0201
Energy above the lowest structure with this stoichiometry (eV/atom): 0.077

abc: 7.0105 7.0105 3.9509
angles: 90.00 90.00 90.00
Last column: nearest neighbours and their distance in Å.
Element x y z (fractional)
Zr (0.1644, 0.3356, 0.0000)  6 Ti 2.80-2.89
Zr (0.3356, 0.8356, 0.0000)  6 Ti 2.80-2.89
Zr (0.6644, 0.1644, 0.0000)  6 Ti 2.80-2.89
Zr (0.8356, 0.6644, 0.0000)  6 Ti 2.80-2.89
Ti (0.1356, 0.6356, 0.5000)  1 Ti 2.69, 2 Zn 2.73, 6 Zr 2.80-2.89
Ti (0.3644, 0.1356, 0.5000)  1 Ti 2.69, 2 Zn 2.73, 6 Zr 2.80-2.89
Ti (0.6356, 0.8644, 0.5000)  1 Ti 2.69, 2 Zn 2.73, 6 Zr 2.80-2.89
Ti (0.8644, 0.3644, 0.5000)  1 Ti 2.69, 2 Zn 2.73, 6 Zr 2.80-2.89
Zn (0.0000, 0.0000, 0.5000)  4 Ti 2.73
Zn (0.5000, 0.5000, 0.5000)  4 Ti 2.73